Record 1
Computed, not measured: a relaxed Tb5Sm6Er2 crystal at the PBE level of DFT.

Unit cell a=11.6643 b=20.4949 c=3.6016 alpha=90.00 beta=90.00 gamma=90.00
With the nearest neighbours (Å) after each atom.
Fractional coordinates of all 26 atoms:
Tb: 0.0000 0.0000 0.0000  6 Sm 3.39-3.45, 4 Tb 3.60-3.69
Tb: 0.0899 0.2732 0.0000  5 Sm 3.33-3.51, 4 Er 3.52-3.59, 2 Tb 3.60
Tb: 0.1980 0.5540 0.0000  6 Sm 3.52-3.66, 3 Tb 3.60-3.69, 2 Er 3.69
Tb: 0.3020 0.0540 0.0000  6 Sm 3.52-3.66, 3 Tb 3.60-3.69, 2 Er 3.69
Tb: 0.4101 0.7732 0.0000  5 Sm 3.33-3.51, 4 Er 3.52-3.59, 2 Tb 3.60
Tb: 0.5000 0.5000 0.0000  6 Sm 3.39-3.45, 4 Tb 3.60-3.69
Tb: 0.5899 0.2268 0.0000  5 Sm 3.33-3.51, 4 Er 3.52-3.59, 2 Tb 3.60
Tb: 0.6980 0.9460 0.0000  6 Sm 3.52-3.66, 3 Tb 3.60-3.69, 2 Er 3.69
Tb: 0.8020 0.4460 0.0000  6 Sm 3.52-3.66, 3 Tb 3.60-3.69, 2 Er 3.69
Tb: 0.9101 0.7268 0.0000  5 Sm 3.33-3.51, 4 Er 3.52-3.59, 2 Tb 3.60
Sm: 0.0605 0.4194 0.5000  6 Tb 3.51-3.66, 5 Sm 3.59-3.77, 1 Er 3.76
Sm: 0.0827 0.1322 0.5000  1 Er 3.32, 6 Tb 3.39-3.52, 4 Sm 3.49-3.60
Sm: 0.1731 0.8634 0.0000  2 Tb 3.33-3.45, 4 Sm 3.49-3.60, 2 Er 3.62
Sm: 0.3269 0.3634 0.0000  2 Tb 3.33-3.45, 4 Sm 3.49-3.60, 2 Er 3.62
Sm: 0.4173 0.6322 0.5000  1 Er 3.32, 6 Tb 3.39-3.52, 4 Sm 3.49-3.60
Sm: 0.4395 0.9194 0.5000  6 Tb 3.51-3.66, 5 Sm 3.59-3.77, 1 Er 3.76
Sm: 0.5605 0.0806 0.5000  6 Tb 3.51-3.66, 5 Sm 3.59-3.77, 1 Er 3.76
Sm: 0.5827 0.3678 0.5000  1 Er 3.32, 6 Tb 3.39-3.52, 4 Sm 3.49-3.60
Sm: 0.6731 0.6366 0.0000  2 Tb 3.33-3.45, 4 Sm 3.49-3.60, 2 Er 3.62
Sm: 0.8269 0.1366 0.0000  2 Tb 3.33-3.45, 4 Sm 3.49-3.60, 2 Er 3.62
Sm: 0.9173 0.8678 0.5000  1 Er 3.32, 6 Tb 3.39-3.52, 4 Sm 3.49-3.60
Sm: 0.9395 0.5806 0.5000  6 Tb 3.51-3.66, 5 Sm 3.59-3.77, 1 Er 3.76
Er: 0.1677 0.7100 0.5000  3 Sm 3.32-3.62, 6 Tb 3.52-3.69, 2 Er 3.60
Er: 0.3323 0.2100 0.5000  3 Sm 3.32-3.62, 6 Tb 3.52-3.69, 2 Er 3.60
Er: 0.6677 0.7900 0.5000  3 Sm 3.32-3.62, 6 Tb 3.52-3.69, 2 Er 3.60
Er: 0.8323 0.2900 0.5000  3 Sm 3.32-3.62, 6 Tb 3.52-3.69, 2 Er 3.60

- magnetic moment (μB/atom) = 0.000
- raw total energy (eV/f.u.) = -59.31
- energy of formation (eV/f.u.) = 1.28
- space group = Pbam, No. 55

=====

Record 2
Computed, not measured: a relaxed CsLi2U2Se6 crystal at the PBE level of DFT.

Unit cell a=7.1950 b=7.4605 c=7.4807 alpha=60.38 beta=81.12 gamma=88.83
With the nearest neighbours (Å) after each atom.
Fractional coordinates of all 11 atoms:
Cs: 0.0000 0.0000 0.0000  6 Se 3.68-3.75
Li: 0.4914 0.7261 0.6040  4 Se 2.64-2.73
Li: 0.5086 0.2739 0.3960  4 Se 2.64-2.73
U: 0.0043 0.3348 0.3298  6 Se 2.78-2.84
U: 0.9957 0.6652 0.6702  6 Se 2.78-2.84
Se: 0.2407 0.4526 0.5237  1 Li 2.64, 2 U 2.80
Se: 0.2411 0.5818 0.9537  1 Li 2.66, 2 U 2.78-2.79
Se: 0.2486 0.0144 0.3978  2 Li 2.71-2.73, 2 U 2.82-2.84
Se: 0.7514 0.9856 0.6022  2 Li 2.71-2.73, 2 U 2.82-2.84
Se: 0.7589 0.4182 0.0463  1 Li 2.66, 2 U 2.78-2.79
Se: 0.7593 0.5474 0.4763  1 Li 2.64, 2 U 2.80

- magnetic moment (μB/atom) = 0.273
- raw total energy (eV/f.u.) = -60.72
- uncorrected formation energy (eV per atom) = -1.141
- space group = P-1, No. 2

=====

Record 3
Computed, not measured: a relaxed MnIr2W crystal at the PBE level of DFT.

Unit cell a=2.7255 b=2.7255 c=7.6238 alpha=90.00 beta=90.00 gamma=90.00
With the nearest neighbours (Å) after each atom.
Fractional coordinates of all 4 atoms:
Mn: 0.0000 0.0000 0.0000  4 Ir 2.55, 4 Mn 2.73, 4 W 2.74
Ir: 0.0000 0.0000 0.5085  4 W 2.72, 8 Ir 2.73-2.84
Ir: 0.5000 0.5000 0.7819  4 Mn 2.55, 8 Ir 2.73-2.84
W: 0.5000 0.5000 0.2560  4 Ir 2.72, 4 W 2.73, 4 Mn 2.74

- magnetic moment (μB/atom) = 0.140
- raw total energy (eV/f.u.) = -40.04
- energy of formation (eV/f.u.) = -0.20
- space group = P4mm, No. 99

=====

Record 4
Computed, not measured: a relaxed MgGe2As2 crystal at the PBE level of DFT.

Unit cell a=7.1983 b=7.1983 c=7.1983 alpha=146.83 beta=146.83 gamma=47.62
With the nearest neighbours (Å) after each atom.
Fractional coordinates of all 5 atoms:
Mg: 0.0000 0.0000 0.0000  8 Ge 3.22
Ge: 0.3942 0.3942 0.0000  1 Ge 2.79, 4 As 2.80
Ge: 0.6058 0.6058 0.0000  1 Ge 2.79, 4 As 2.80
As: 0.2500 0.7500 0.5000  4 Ge 2.80, 4 As 2.91
As: 0.7500 0.2500 0.5000  4 Ge 2.80, 4 As 2.91

- magnetic moment (μB/atom) = 0.000
- raw total energy (eV/f.u.) = -18.77
- energy of formation (eV/f.u.) = 1.35
- space group = I4/mmm, No. 139

=====

Record 5
Computed, not measured: a relaxed AcHo2ScS6 crystal at the PBE level of DFT.

Unit cell a=7.3363 b=7.3363 c=7.3363 alpha=56.56 beta=56.56 gamma=56.56
With the nearest neighbours (Å) after each atom.
Fractional coordinates of all 10 atoms:
Ac: 0.0000 0.0000 0.0000  6 S 2.91-3.10
Ho: 0.2787 0.2787 0.2787  6 S 2.71-2.76
Ho: 0.7906 0.7906 0.7906  6 S 2.67-2.76
Sc: 0.4792 0.4792 0.4792  6 S 2.63-2.64
S: 0.0810 0.6401 0.4311  1 Sc 2.63, 2 Ho 2.67-2.76, 1 Ac 2.91
S: 0.2027 0.5717 0.8695  1 Sc 2.64, 2 Ho 2.71-2.76
S: 0.4311 0.0810 0.6401  1 Sc 2.63, 2 Ho 2.67-2.76, 1 Ac 2.91
S: 0.5717 0.8695 0.2027  1 Sc 2.64, 2 Ho 2.71-2.76
S: 0.6401 0.4311 0.0810  1 Sc 2.63, 2 Ho 2.67-2.76, 1 Ac 2.91
S: 0.8695 0.2027 0.5717  1 Sc 2.64, 2 Ho 2.71-2.76

- magnetic moment (μB/atom) = 0.000
- raw total energy (eV/f.u.) = -64.44
- uncorrected formation energy (eV per atom) = -2.008
- space group = R3, No. 146

=====

Record 6
Computed, not measured: a relaxed In3SBr crystal at the PBE level of DFT.

Unit cell a=5.7390 b=5.7390 c=5.7390 alpha=90.00 beta=90.00 gamma=90.00
With the nearest neighbours (Å) after each atom.
Fractional coordinates of all 5 atoms:
In: 0.0000 0.0000 0.5000  2 S 2.87
In: 0.0000 0.5000 0.0000  2 S 2.87
In: 0.5000 0.0000 0.0000  2 S 2.87
S: 0.0000 0.0000 0.0000  6 In 2.87
Br: 0.5000 0.5000 0.5000  12 In 4.06

- magnetic moment (μB/atom) = 0.000
- raw total energy (eV/f.u.) = -14.28
- uncorrected formation energy (eV per atom) = -0.052
- space group = Pm-3m, No. 221

=====

Record 7
Computed, not measured: a relaxed MnAgGe2 crystal at the PBE level of DFT.

Unit cell a=8.9292 b=8.9292 c=8.9292 alpha=19.00 beta=19.00 gamma=19.00
With the nearest neighbours (Å) after each atom.
Fractional coordinates of all 4 atoms:
Mn: 0.0000 0.0000 0.0000  6 Ge 2.47
Ag: 0.5000 0.5000 0.5000  2 Ge 2.59
Ge: 0.4016 0.4016 0.4016  3 Mn 2.47, 1 Ag 2.59
Ge: 0.5984 0.5984 0.5984  3 Mn 2.47, 1 Ag 2.59

- magnetic moment (μB/atom) = 0.192
- raw total energy (eV/f.u.) = -20.72
- energy of formation (eV/f.u.) = 0.53
- space group = R-3m, No. 166

=====

Record 8
Computed, not measured: a relaxed TlCu2Mo crystal at the PBE level of DFT.

Unit cell a=5.3409 b=5.3409 c=4.9456 alpha=114.98 beta=114.98 gamma=30.29
With the nearest neighbours (Å) after each atom.
Fractional coordinates of all 4 atoms:
Tl: 0.0000 0.0000 0.0000  2 Tl 2.79, 7 Cu 2.80-2.88, 3 Mo 2.87-2.95
Cu: 0.4853 0.4853 0.4964  4 Cu 2.65-2.79, 3 Mo 2.76-2.85, 4 Tl 2.80-2.88
Cu: 0.7578 0.7578 0.1261  4 Cu 2.65-2.79, 4 Mo 2.81-2.89, 3 Tl 2.82-2.83
Mo: 0.2329 0.2329 0.5938  7 Cu 2.76-2.89, 2 Mo 2.79, 3 Tl 2.87-2.95

- magnetic moment (μB/atom) = 0.000
- raw total energy (eV/f.u.) = -19.22
- energy of formation (eV/f.u.) = 2.17
- space group = Cm, No. 8

=====

Record 9
Computed, not measured: a relaxed TbNd6Sm2Mg crystal at the PBE level of DFT.

Unit cell a=9.0613 b=9.0613 c=9.3448 alpha=92.27 beta=92.27 gamma=118.07
With the nearest neighbours (Å) after each atom.
Fractional coordinates of all 20 atoms:
Tb: 0.0242 0.9758 0.7500  4 Sm 3.43-3.61, 6 Nd 3.57-3.74
Tb: 0.9758 0.0242 0.2500  4 Sm 3.43-3.61, 6 Nd 3.57-3.74
Nd: 0.0051 0.4303 0.2968  5 Nd 3.37-3.73, 1 Mg 3.41, 1 Sm 3.43, 1 Tb 3.57
Nd: 0.1357 0.7812 0.0533  1 Sm 3.45, 7 Nd 3.47-3.73, 2 Tb 3.64-3.74
Nd: 0.2188 0.8643 0.4467  1 Sm 3.45, 7 Nd 3.47-3.73, 2 Tb 3.64-3.74
Nd: 0.2776 0.5029 0.8954  3 Sm 3.21-3.48, 3 Nd 3.37-3.53, 2 Mg 3.43-3.46
Nd: 0.4303 0.0051 0.7968  5 Nd 3.37-3.73, 1 Mg 3.41, 1 Sm 3.43, 1 Tb 3.57
Nd: 0.4971 0.7224 0.6046  3 Sm 3.21-3.48, 3 Nd 3.37-3.53, 2 Mg 3.43-3.46
Nd: 0.5029 0.2776 0.3954  3 Sm 3.21-3.48, 3 Nd 3.37-3.53, 2 Mg 3.43-3.46
Nd: 0.5697 0.9949 0.2032  5 Nd 3.37-3.73, 1 Mg 3.41, 1 Sm 3.43, 1 Tb 3.57
Nd: 0.7224 0.4971 0.1046  3 Sm 3.21-3.48, 3 Nd 3.37-3.53, 2 Mg 3.43-3.46
Nd: 0.7812 0.1357 0.5533  1 Sm 3.45, 7 Nd 3.47-3.73, 2 Tb 3.64-3.74
Nd: 0.8643 0.2188 0.9467  1 Sm 3.45, 7 Nd 3.47-3.73, 2 Tb 3.64-3.74
Nd: 0.9949 0.5697 0.7032  5 Nd 3.37-3.73, 1 Mg 3.41, 1 Sm 3.43, 1 Tb 3.57
Sm: 0.2121 0.3179 0.5490  5 Nd 3.21-3.48, 1 Tb 3.43, 1 Mg 3.45
Sm: 0.3179 0.2121 0.0490  5 Nd 3.21-3.48, 1 Tb 3.43, 1 Mg 3.45
Sm: 0.6821 0.7879 0.9510  5 Nd 3.21-3.48, 1 Tb 3.43, 1 Mg 3.45
Sm: 0.7879 0.6821 0.4510  5 Nd 3.21-3.48, 1 Tb 3.43, 1 Mg 3.45
Mg: 0.4209 0.5791 0.2500  6 Nd 3.41-3.46, 4 Sm 3.45-3.70
Mg: 0.5791 0.4209 0.7500  6 Nd 3.41-3.46, 4 Sm 3.45-3.70

- magnetic moment (μB/atom) = 0.000
- raw total energy (eV/f.u.) = -43.17
- energy of formation (eV/f.u.) = 1.10
- space group = C2/c, No. 15

=====

Record 10
Computed, not measured: a relaxed Ba2SnH crystal at the PBE level of DFT.

Unit cell a=8.3373 b=8.3373 c=8.3373 alpha=31.52 beta=31.52 gamma=31.52
With the nearest neighbours (Å) after each atom.
Fractional coordinates of all 4 atoms:
Ba: 0.2377 0.2377 0.2377  3 H 3.11, 3 Sn 3.46
Ba: 0.7623 0.7623 0.7623  3 H 3.11, 3 Sn 3.46
Sn: 0.0000 0.0000 0.0000  6 Ba 3.46
H: 0.5000 0.5000 0.5000  6 Ba 3.11

- magnetic moment (μB/atom) = 0.000
- raw total energy (eV/f.u.) = -12.50
- space group = R-3m, No. 166

=====

Record 11
Computed, not measured: a relaxed Y2Pd2Pt crystal at the PBE level of DFT.

Unit cell a=7.7100 b=7.7100 c=7.7100 alpha=133.63 beta=65.63 gamma=136.28
With the nearest neighbours (Å) after each atom.
Fractional coordinates of all 10 atoms:
Y: 0.1584 0.2375 0.3959  4 Pd 2.84-2.94, 2 Pt 2.89
Y: 0.3416 0.7375 0.0791  4 Pd 2.84-2.94, 2 Pt 2.89
Y: 0.6584 0.2625 0.9209  4 Pd 2.84-2.94, 2 Pt 2.89
Y: 0.8416 0.7625 0.6041  4 Pd 2.84-2.94, 2 Pt 2.89
Pd: 0.1180 0.6980 0.8160  2 Pt 2.79, 4 Y 2.84-2.94
Pd: 0.3820 0.1980 0.5800  2 Pt 2.79, 4 Y 2.84-2.94
Pd: 0.6180 0.8020 0.4200  2 Pt 2.79, 4 Y 2.84-2.94
Pd: 0.8820 0.3020 0.1840  2 Pt 2.79, 4 Y 2.84-2.94
Pt: 0.2500 0.2500 0.0000  4 Pd 2.79, 2 Pt 2.87, 4 Y 2.89
Pt: 0.7500 0.7500 0.0000  4 Pd 2.79, 2 Pt 2.87, 4 Y 2.89

- magnetic moment (μB/atom) = 0.000
- raw total energy (eV/f.u.) = -33.37
- energy of formation (eV/f.u.) = -4.02
- space group = Ibam, No. 72

=====

Record 12
Computed, not measured: a relaxed ZrFePd6 crystal at the PBE level of DFT.

Unit cell a=3.9784 b=3.9784 c=7.8931 alpha=90.00 beta=90.00 gamma=90.00
With the nearest neighbours (Å) after each atom.
Fractional coordinates of all 8 atoms:
Zr: 0.0000 0.0000 0.0000  12 Pd 2.81-2.85
Fe: 0.0000 0.0000 0.5000  12 Pd 2.76-2.81
Pd: 0.0000 0.5000 0.2578  2 Fe 2.76, 8 Pd 2.76-2.85, 2 Zr 2.85
Pd: 0.0000 0.5000 0.7422  2 Fe 2.76, 8 Pd 2.76-2.85, 2 Zr 2.85
Pd: 0.5000 0.0000 0.2578  2 Fe 2.76, 8 Pd 2.76-2.85, 2 Zr 2.85
Pd: 0.5000 0.0000 0.7422  2 Fe 2.76, 8 Pd 2.76-2.85, 2 Zr 2.85
Pd: 0.5000 0.5000 0.0000  4 Zr 2.81, 8 Pd 2.85
Pd: 0.5000 0.5000 0.5000  8 Pd 2.76, 4 Fe 2.81

- magnetic moment (μB/atom) = 0.565
- raw total energy (eV/f.u.) = -51.83
- energy of formation (eV/f.u.) = -3.67
- space group = P4/mmm, No. 123

=====

What did the twelfth record say?
Computed, not measured: a relaxed ZrFePd6 crystal at the PBE level of DFT.

Unit cell a=3.9784 b=3.9784 c=7.8931 alpha=90.00 beta=90.00 gamma=90.00
With the nearest neighbours (Å) after each atom.
Fractional coordinates of all 8 atoms:
Zr: 0.0000 0.0000 0.0000  12 Pd 2.81-2.85
Fe: 0.0000 0.0000 0.5000  12 Pd 2.76-2.81
Pd: 0.0000 0.5000 0.2578  2 Fe 2.76, 8 Pd 2.76-2.85, 2 Zr 2.85
Pd: 0.0000 0.5000 0.7422  2 Fe 2.76, 8 Pd 2.76-2.85, 2 Zr 2.85
Pd: 0.5000 0.0000 0.2578  2 Fe 2.76, 8 Pd 2.76-2.85, 2 Zr 2.85
Pd: 0.5000 0.0000 0.7422  2 Fe 2.76, 8 Pd 2.76-2.85, 2 Zr 2.85
Pd: 0.5000 0.5000 0.0000  4 Zr 2.81, 8 Pd 2.85
Pd: 0.5000 0.5000 0.5000  8 Pd 2.76, 4 Fe 2.81

- magnetic moment (μB/atom) = 0.565
- raw total energy (eV/f.u.) = -51.83
- energy of formation (eV/f.u.) = -3.67
- space group = P4/mmm, No. 123

=====

- Among the records above, which one has the lowest raw total energy?
  AcHo2ScS6

=====

- Which value of magnetic moment does entry 11 give?
  0.000 μB/atom